Record 1
Crystalline CsNaTe2 at its relaxed geometry, computed with PBE-GGA.

Computed properties:
- Symmetry: I-42d, No. 122
- Theoretical density: 3.58 g/cm³

abc: 6.089 6.089 11.142
angles: 74.14 74.14 90.00
Atoms (fractional coordinates):
1 Na 0.500 0.500 0.000
2 Na 0.250 0.750 0.500
3 Cs 0.750 0.250 0.500
4 Cs 0.000 0.000 0.000
5 Te 0.437 0.125 0.250
6 Te 0.875 0.687 0.750
7 Te 0.375 0.563 0.750
8 Te 0.313 0.625 0.250

=====

Record 2
Crystalline Cs3NaTe2 at its relaxed geometry, computed with PBE-GGA.

Computed properties:
- Symmetry: Ibam, No. 72
- Theoretical density: 3.70 g/cm³

abc: 9.113 7.816 10.430
angles: 112.00 115.91 90.00
Atoms (fractional coordinates):
1 Cs 0.634 0.323 0.646
2 Cs 0.989 0.177 0.354
3 Cs 0.500 0.750 0.000
4 Cs 0.500 0.250 0.000
5 Cs 0.366 0.677 0.354
6 Cs 0.011 0.823 0.646
7 Na 0.000 0.250 0.000
8 Na 0.000 0.750 0.000
9 Te 0.311 0.105 0.211
10 Te 0.900 0.605 0.211
11 Te 0.689 0.895 0.789
12 Te 0.100 0.395 0.789

=====

Record 3
Crystalline CsNaTe2 at its relaxed geometry, computed with PBE-GGA.

Computed properties:
- Symmetry: P2_1/m, No. 11
- Theoretical density: 4.22 g/cm³

abc: 5.568 5.646 10.662
angles: 105.39 90.00 90.00
Atoms (fractional coordinates):
1 Te 0.750 0.249 0.500
2 Te 0.250 0.751 0.500
3 Te 0.250 0.474 0.951
4 Te 0.750 0.526 0.049
5 Cs 0.250 0.104 0.209
6 Cs 0.750 0.896 0.791
7 Na 0.250 0.322 0.641
8 Na 0.750 0.678 0.359

=====

Record 4
Crystalline CsNa3Te3 at its relaxed geometry, computed with PBE-GGA.

Computed properties:
- Symmetry: Pm-3n, No. 223
- Theoretical density: 3.11 g/cm³

abc: 8.544 8.544 8.544
angles: 90.00 90.00 90.00
Each line ends with the local moment (μB).
Atoms (fractional coordinates):
1 Te 0.500 0.000 0.250  0.22
2 Te 0.250 0.500 0.000  0.22
3 Te 0.000 0.750 0.500  0.22
4 Te 0.500 0.000 0.750  0.22
5 Te 0.750 0.500 0.000  0.22
6 Te 0.000 0.250 0.500  0.22
7 Na 0.000 0.500 0.750  0.00
8 Na 0.500 0.750 0.000  0.00
9 Na 0.000 0.500 0.250  0.00
10 Na 0.500 0.250 0.000  0.00
11 Na 0.750 0.000 0.500  0.00
12 Na 0.250 0.000 0.500  0.00
13 Cs 0.500 0.500 0.500  0.00
14 Cs 0.000 0.000 0.000  0.00

=====

Record 5
Crystalline Cs2NaTe at its relaxed geometry, computed with PBE-GGA.

Computed properties:
- Symmetry: P4/mmm, No. 123
- Theoretical density: 2.87 g/cm³

abc: 4.666 4.666 11.053
angles: 90.00 90.00 90.00
Atoms (fractional coordinates):
1 Cs 0.000 0.000 0.175
2 Cs 0.000 0.000 0.825
3 Te 0.500 0.500 0.000
4 Na 0.500 0.500 0.500

=====

Record 6
Crystalline Cs3NaTe4 at its relaxed geometry, computed with PBE-GGA.

Computed properties:
- Symmetry: Immm, No. 71
- Theoretical density: 3.82 g/cm³

abc: 5.930 6.584 11.280
angles: 106.97 105.24 90.00
Atoms (fractional coordinates):
1 Te 0.379 0.593 0.759
2 Te 0.621 0.834 0.241
3 Te 0.621 0.407 0.241
4 Te 0.379 0.166 0.759
5 Cs 0.000 0.500 0.000
6 Cs 0.798 0.798 0.595
7 Cs 0.202 0.202 0.405
8 Na 0.500 0.000 0.000

=====

Q: Which calculated volume values were calculated for the entries above? A: 381 607 323 624 241 405, in Å³ per cell.
Q: Which final energy values were calculated for the entries above? A: -2.85 -2.68 -2.86 -2.61 -2.06 -2.87, in eV per atom.